24
Lattice="5.452 0.000 0.000 -2.726 4.722 0.000 0.000 0.000 17.879" Properties=species:S:1:pos:R:3 comment="SmAl5 | the Alexandria database | PBE-GGA | relaxed" delta_e_f_ev_per_atom=-0.249 n_ef_per_ev_atom=0.54 pbc="T T T"
Sm 0.000 3.148 2.657
Sm 0.000 3.148 6.283
Sm 2.726 1.574 11.597
Sm 2.726 1.574 15.222
Al 0.000 0.000 2.022
Al 0.000 0.000 6.918
Al 0.000 0.000 10.962
Al 0.000 0.000 15.857
Al -0.954 1.652 8.940
Al -1.773 3.070 0.000
Al 0.000 1.557 13.409
Al -1.378 3.944 13.409
Al 1.348 0.778 4.470
Al 0.000 3.148 11.091
Al 0.000 3.148 15.728
Al 1.907 0.000 8.940
Al 0.954 1.652 0.000
Al 3.545 0.000 0.000
Al 1.773 3.070 8.940
Al 2.726 1.574 2.151
Al 2.726 1.574 6.788
Al 1.378 3.944 13.409
Al 4.104 0.778 4.470
Al 2.726 3.165 4.470